(1)
Compound: Ga2SnTeRh
Source: Alexandria
Functional: PBE-GGA
Structure: relaxed

abc: 4.8390 4.8390 5.2417
angles: 90.00 90.00 90.00
Sites, in units of the cell vectors:
Ga  0.0000  0.5000  0.0000
Ga  0.5000  0.0000  0.0000
Sn  0.0000  0.0000  0.5000
Te  0.5000  0.5000  0.5000
Rh  0.0000  0.0000  0.0000

As for the raw formation energy: -270 meV/atom. The value obtained for the electronic total energy is -4.38 eV/atom. The space group is P4/mmm.

(2)
Compound: Th2Ga2SnRh5
Source: Alexandria
Functional: PBE-GGA
Structure: relaxed

abc: 9.9373 9.9373 3.7255
angles: 90.00 90.00 90.00
Sites, in units of the cell vectors:
Th  0.1783  0.3217  0.0000
Th  0.3217  0.8217  0.0000
Th  0.6783  0.1783  0.0000
Th  0.8217  0.6783  0.0000
Ga  0.1186  0.6186  0.0000
Ga  0.3814  0.1186  0.0000
Ga  0.6186  0.8814  0.0000
Ga  0.8814  0.3814  0.0000
Sn  0.0000  0.0000  0.0000
Sn  0.5000  0.5000  0.0000
Rh  0.0000  0.5000  0.5000
Rh  0.0703  0.7873  0.5000
Rh  0.2127  0.0703  0.5000
Rh  0.2873  0.5703  0.5000
Rh  0.4297  0.2873  0.5000
Rh  0.5000  0.0000  0.5000
Rh  0.5703  0.7127  0.5000
Rh  0.7127  0.4297  0.5000
Rh  0.7873  0.9297  0.5000
Rh  0.9297  0.2127  0.5000

The value obtained for the formation energy is -0.7801 eV per atom. The value obtained for the electronic total energy is -6.95 eV/atom. The space group is P4/mbm.

(3)
Compound: TmGaSnRh
Source: Alexandria
Functional: PBE-GGA
Structure: relaxed

abc: 4.7978 4.7978 4.7978
angles: 60.00 60.00 60.00
Sites, in units of the cell vectors:
Tm  0.0000  0.0000  0.0000
Ga  0.2500  0.2500  0.2500
Sn  0.5000  0.5000  0.5000
Rh  0.7500  0.7500  0.7500

The value obtained for the formation energy is -0.5243 eV per atom. The value obtained for the electronic total energy is -5.24 eV/atom. The space group is F-43m.

(4)
Compound: Sr3GaRh
Source: Alexandria
Functional: PBE-GGA
Structure: relaxed

abc: 5.7570 5.7570 5.7570
angles: 90.00 90.00 90.00
Sites, in units of the cell vectors:
Sr  0.0000  0.0000  0.5000
Sr  0.0000  0.5000  0.0000
Sr  0.5000  0.0000  0.0000
Ga  0.5000  0.5000  0.5000
Rh  0.0000  0.0000  0.0000

The value obtained for the formation energy is -0.0754 eV per atom. The value obtained for the electronic total energy is -3.16 eV/atom. The space group is Pm-3m. Its excess energy over the best structure of this formula in the dataset is 0.000 eV/atom.

(5)
Compound: Sr2Ga4Rh
Source: Alexandria
Functional: PBE-GGA
Structure: relaxed

abc: 8.8967 8.8967 8.8967
angles: 148.97 148.97 44.45
Sites, in units of the cell vectors:
Sr  0.1549  0.1549  0.0000
Sr  0.8451  0.8451  0.0000
Ga  0.0000  0.5000  0.5000
Ga  0.3473  0.3473  0.0000
Ga  0.5000  0.0000  0.5000
Ga  0.6527  0.6527  0.0000
Rh  0.5000  0.5000  0.0000

The value obtained for the formation energy is -0.3623 eV per atom. The value obtained for the electronic total energy is -3.62 eV/atom. The space group is I4/mmm.

(6)
Compound: Sr8Ga2Rh
Source: Alexandria
Functional: PBE-GGA
Structure: relaxed

abc: 10.2959 10.2959 7.5789
angles: 106.24 106.24 31.94
Sites, in units of the cell vectors:
Sr  0.0313  0.0313  0.3016
Sr  0.2103  0.2103  0.8096
Sr  0.3432  0.3432  0.5429
Sr  0.4085  0.4085  0.0832
Sr  0.5915  0.5915  0.9168
Sr  0.6568  0.6568  0.4571
Sr  0.7897  0.7897  0.1904
Sr  0.9687  0.9687  0.6984
Ga  0.1847  0.1847  0.2148
Ga  0.8153  0.8153  0.7852
Rh  0.5000  0.5000  0.5000

The value obtained for the formation energy is -0.1767 eV per atom. The value obtained for the electronic total energy is -2.62 eV/atom. The space group is C2/m.

(7)
Compound: SrGa2Rh2
Source: Alexandria
Functional: PBE-GGA
Structure: relaxed

abc: 5.9606 5.9606 5.9606
angles: 136.72 136.72 62.87
Sites, in units of the cell vectors:
Sr  0.0000  0.0000  0.0000
Ga  0.3639  0.3639  0.0000
Ga  0.6361  0.6361  0.0000
Rh  0.2500  0.7500  0.5000
Rh  0.7500  0.2500  0.5000

The value obtained for the formation energy is -0.6999 eV per atom. The value obtained for the electronic total energy is -5.19 eV/atom. The space group is I4/mmm.

(8)
Compound: SrGaRh3
Source: Alexandria
Functional: PBE-GGA
Structure: relaxed

abc: 4.9830 4.9830 4.9830
angles: 90.00 90.00 90.00
Sites, in units of the cell vectors:
Sr  0.0000  0.0000  0.0000
Ga  0.5000  0.5000  0.5000
Rh  0.0000  0.0000  0.5000
Rh  0.0000  0.5000  0.0000
Rh  0.5000  0.0000  0.0000

The value obtained for the formation energy is 1.6534 eV per atom. The value obtained for the electronic total energy is -3.70 eV/atom. The space group is Pm-3m. Its excess energy over the best structure of this formula in the dataset is 1.606 eV/atom.

| no. | N(E_F) (states/eV per atom) |
| --- | --- |
| 1 | 0.62 |
| 2 | 0.36 |
| 3 | 0.91 |
| 4 | 1.06 |
| 5 | 0.79 |
| 6 | 1.05 |
| 7 | 0.24 |
| 8 | 1.73 |